The following is a meta-GGA SCAN calculation of Ta3HBr at its PBEsol-relaxed geometry, from Alexandria via LeMat-Bulk.

Values from the calculation:
* volume: 102.3 Å³/f.u.
* DOS at the Fermi energy: 7.3 states/eV/f.u.
* size of the total moment: 1.19 μB/f.u.

Structure (POSCAR):
```
Ta3HBr
1.0
4.677 0.000 0.000
0.000 4.677 0.000
0.000 0.000 4.677
H Br Ta
1 1 3
Direct
0.500 0.500 0.500
0.000 0.000 0.000
0.000 0.500 0.000
0.000 0.000 0.500
0.500 0.000 0.000
```


The following is a meta-GGA SCAN calculation of Cu7P12S9Cl7 at its PBEsol-relaxed geometry, from Alexandria via LeMat-Bulk.

Values from the calculation:
* volume: 709.0 Å³/f.u.
* DOS at the Fermi energy: 0.0 states/eV/f.u.
* E_form (uncorrected): -398 meV/atom
* size of the total moment: 0.00 μB/f.u.

Structure (POSCAR):
```
Cu7P12S9Cl7
1.0
6.046 0.000 0.000
0.000 16.456 0.000
0.000 -8.228 14.252
Cu P S Cl
14 24 18 14
Direct
0.980 0.078 0.922
0.480 0.922 0.843
0.452 0.456 0.544
0.038 0.333 0.667
0.980 0.843 0.922
0.480 0.922 0.078
0.952 0.913 0.456
0.538 0.667 0.333
0.952 0.544 0.456
0.452 0.087 0.544
0.480 0.157 0.078
0.980 0.078 0.157
0.952 0.544 0.087
0.452 0.456 0.913
0.588 0.309 0.477
0.389 0.522 0.261
0.358 0.851 0.149
0.088 0.477 0.309
0.588 0.168 0.691
0.088 0.691 0.168
0.858 0.149 0.297
0.588 0.168 0.477
0.389 0.739 0.478
0.858 0.703 0.851
0.889 0.478 0.739
0.358 0.851 0.703
0.088 0.691 0.523
0.588 0.309 0.832
0.389 0.739 0.261
0.858 0.149 0.851
0.889 0.261 0.739
0.588 0.523 0.832
0.088 0.832 0.309
0.358 0.297 0.149
0.088 0.832 0.523
0.088 0.477 0.168
0.588 0.523 0.691
0.889 0.261 0.522
0.161 0.930 0.662
0.161 0.732 0.070
0.161 0.732 0.662
0.661 0.662 0.732
0.661 0.070 0.732
0.661 0.662 0.930
0.661 0.268 0.338
0.095 0.203 0.797
0.095 0.594 0.797
0.161 0.930 0.268
0.595 0.406 0.203
0.595 0.797 0.594
0.661 0.268 0.930
0.161 0.338 0.268
0.595 0.797 0.203
0.661 0.070 0.338
0.161 0.338 0.070
0.095 0.203 0.406
0.359 0.074 0.148
0.859 0.926 0.074
0.911 0.667 0.333
0.859 0.148 0.074
0.582 0.532 0.063
0.082 0.468 0.937
0.359 0.852 0.926
0.859 0.926 0.852
0.411 0.333 0.667
0.582 0.937 0.468
0.082 0.063 0.532
0.359 0.074 0.926
0.582 0.532 0.468
0.082 0.468 0.532
```


The following is a meta-GGA SCAN calculation of SnCIO2 at its PBEsol-relaxed geometry, from Alexandria via LeMat-Bulk.

Values from the calculation:
* volume: 96.8 Å³/f.u.
* DOS at the Fermi energy: 1.1 states/eV/f.u.
* E_form (uncorrected): 610 meV/atom
* size of the total moment: 1.26 μB/f.u.

Structure (POSCAR):
```
SnCIO2
1.0
3.843 0.000 0.000
0.000 3.843 0.000
0.000 0.000 6.553
I C Sn O
1 1 1 2
Direct
0.000 0.000 0.500
0.500 0.500 0.500
0.000 0.000 0.000
0.000 0.500 0.000
0.500 0.000 0.000
```


Number 1: DFT total energy -42.02 eV per atom. Number 2: DFT total energy -11.07 eV per atom. Number 3: DFT total energy -18.43 eV per atom.